Record 1
A relaxed structure of PuNiS3. Source: the Alexandria database, functional PBE.

```
PuNiS3
1.0
3.680 0.000 0.000
0.000 7.385 0.000
0.000 0.000 12.656
Pu Ni S
4 4 12
direct
0.250 0.887 0.328 Pu
0.750 0.113 0.672 Pu
0.750 0.613 0.828 Pu
0.250 0.387 0.172 Pu
0.250 0.667 0.552 Ni
0.750 0.333 0.448 Ni
0.750 0.833 0.052 Ni
0.250 0.167 0.948 Ni
0.750 0.177 0.289 S
0.250 0.652 0.998 S
0.250 0.007 0.105 S
0.250 0.507 0.395 S
0.250 0.152 0.502 S
0.750 0.493 0.605 S
0.250 0.323 0.789 S
0.750 0.993 0.895 S
0.750 0.348 0.002 S
0.750 0.677 0.211 S
0.750 0.848 0.498 S
0.250 0.823 0.711 S
```

Calculated values
Space-group type = Pnma (62)
N(E_F) = 8.359 states/eV/f.u.
Uncorrected energy = -7.454 eV per atom
Energy relative to the elements, uncorrected = -4.77 eV/f.u.
Crystal system = orthorhombic

***

Record 2
A relaxed structure of Pu2NiS3. Source: the Alexandria database, functional PBE.

```
Pu2NiS3
1.0
-1.925 2.944 1.247
-2.897 -2.674 1.842
6.266 -0.164 4.476
Pu Ni S
2 1 3
direct
0.641 0.641 0.283 Pu
0.359 0.359 0.717 Pu
0.000 0.000 0.000 Ni
0.000 0.500 0.000 S
0.836 0.836 0.672 S
0.164 0.164 0.328 S
```

Calculated values
Space-group type = Immm (71)
N(E_F) = 12.743 states/eV/f.u.
Uncorrected energy = -9.156 eV per atom
Energy relative to the elements, uncorrected = -8.11 eV/f.u.
Crystal system = orthorhombic

***

Record 3
A relaxed structure of PuNi2S3. Source: the Alexandria database, functional PBE.

```
PuNi2S3
1.0
-2.053 -0.881 -3.037
-1.572 -5.242 2.582
-7.911 5.171 3.846
Pu Ni S
2 4 6
direct
0.250 0.644 0.336 Pu
0.750 0.356 0.664 Pu
0.250 0.459 0.914 Ni
0.750 0.541 0.086 Ni
0.750 0.048 0.418 Ni
0.250 0.952 0.582 Ni
0.750 0.864 0.217 S
0.250 0.136 0.783 S
0.750 0.636 0.879 S
0.250 0.364 0.121 S
0.250 0.250 0.454 S
0.750 0.750 0.546 S
```

Calculated values
Space-group type = P2_1/m (11)
N(E_F) = 8.785 states/eV/f.u.
Uncorrected energy = -7.198 eV per atom
Energy relative to the elements, uncorrected = -4.91 eV/f.u.
Crystal system = monoclinic

***

Q: uncorrected energy of number 2 (Pu2NiS3)?
A: -9.156 eV per atom